a) This record from Alexandria via LeMat-Bulk describes a relaxed NaTi3O crystal. The functional is PBE.

```
data_NaTi3O
_space_group_name_H-M_alt 'P m -3 m'
_space_group_IT_number 221
_space_group_name_Hall '-P 4 2 3'
_cell_length_a 4.242
_cell_length_b 4.242
_cell_length_c 4.242
_cell_angle_alpha 90.00
_cell_angle_beta 90.00
_cell_angle_gamma 90.00
loop_
_atom_site_label
_atom_site_type_symbol
_atom_site_fract_x
_atom_site_fract_y
_atom_site_fract_z
_atom_site_occupancy
Na1 Na 0.000 0.000 0.000 1
Ti1 Ti 0.000 0.500 0.500 1
O1 O 0.500 0.500 0.500 1
```

---

b) This record from Alexandria via LeMat-Bulk describes a relaxed NaTi3O crystal. The functional is PBE.

```
data_NaTi3O
_space_group_name_H-M_alt 'P m -3 m'
_space_group_IT_number 221
_space_group_name_Hall '-P 4 2 3'
_cell_length_a 4.706
_cell_length_b 4.706
_cell_length_c 4.706
_cell_angle_alpha 90.00
_cell_angle_beta 90.00
_cell_angle_gamma 90.00
loop_
_atom_site_label
_atom_site_type_symbol
_atom_site_fract_x
_atom_site_fract_y
_atom_site_fract_z
_atom_site_occupancy
Na1 Na 0.000 0.000 0.000 1
Ti1 Ti 0.000 0.000 0.500 1
O1 O 0.500 0.500 0.500 1
```

---

Result of the stability comparison: b) is the least stable of them.

---

a) This record from Alexandria via LeMat-Bulk describes a relaxed Na3Ti8O16 crystal. The functional is PBE.

```
data_Na3Ti8O16
_space_group_name_H-M_alt 'P 1 m 1'
_space_group_IT_number 6
_cell_length_a 9.290
_cell_length_b 2.976
_cell_length_c 10.800
_cell_angle_alpha 90.00
_cell_angle_beta 90.03
_cell_angle_gamma 90.00
loop_
_space_group_symop_operation_xyz
'x,y,z'
'x,-y,z'
loop_
_atom_site_label
_atom_site_type_symbol
_atom_site_fract_x
_atom_site_fract_y
_atom_site_fract_z
_atom_site_occupancy
Na1 Na 0.000 0.000 0.000 1
Na2 Na 0.015 0.500 0.499 1
Na3 Na 0.500 0.000 0.806 1
Ti1 Ti 0.175 0.500 0.756 1
Ti2 Ti 0.203 0.500 0.265 1
Ti3 Ti 0.323 0.000 0.044 1
Ti4 Ti 0.341 0.000 0.548 1
Ti5 Ti 0.674 0.500 0.055 1
Ti6 Ti 0.691 0.500 0.537 1
Ti7 Ti 0.819 0.000 0.763 1
Ti8 Ti 0.842 0.000 0.258 1
O1 O 0.052 0.000 0.299 1
O2 O 0.142 0.000 0.634 1
O3 O 0.180 0.500 0.081 1
O4 O 0.233 0.000 0.871 1
O5 O 0.273 0.500 0.439 1
O6 O 0.334 0.000 0.223 1
O7 O 0.368 0.500 0.675 1
O8 O 0.465 0.500 0.002 1
O9 O 0.550 0.000 0.517 1
O10 O 0.647 0.000 0.167 1
O11 O 0.679 0.500 0.724 1
O12 O 0.734 0.000 0.935 1
O13 O 0.787 0.500 0.372 1
O14 O 0.835 0.000 0.582 1
O15 O 0.872 0.500 0.133 1
O16 O 0.963 0.500 0.802 1
```

---

b) This record from Alexandria via LeMat-Bulk describes a relaxed Na3Ti8O16 crystal. The functional is PBE.

```
data_Na3Ti8O16
_space_group_name_H-M_alt 'P m m n'
_space_group_IT_number 59
_cell_length_a 6.122
_cell_length_b 12.251
_cell_length_c 8.652
_cell_angle_alpha 90.00
_cell_angle_beta 90.00
_cell_angle_gamma 90.00
loop_
_space_group_symop_operation_xyz
'x,y,z'
'-x,-y,-z'
'-x+1/2,-y+1/2,z'
'x+1/2,y+1/2,-z'
'x+1/2,-y,-z'
'-x+1/2,y,z'
'-x,y+1/2,-z'
'x,-y+1/2,z'
loop_
_atom_site_label
_atom_site_type_symbol
_atom_site_fract_x
_atom_site_fract_y
_atom_site_fract_z
_atom_site_occupancy
Na1 Na 0.250 0.001 0.126 1
Na2 Na 0.250 0.750 0.377 1
Ti1 Ti 0.000 0.000 0.500 1
Ti2 Ti 0.005 0.250 0.008 1
Ti3 Ti 0.250 0.128 0.741 1
Ti4 Ti 0.250 0.627 0.748 1
O1 O 0.035 0.750 0.765 1
O2 O 0.036 0.250 0.769 1
O3 O 0.038 0.001 0.731 1
O4 O 0.250 0.108 0.517 1
O5 O 0.250 0.144 0.982 1
O6 O 0.250 0.606 0.516 1
O7 O 0.250 0.643 0.979 1
```

---

Result of the stability comparison: b) is the least stable of them.

---

a) This record from Alexandria via LeMat-Bulk describes a relaxed Na3TlO3 crystal. The functional is PBE.

```
data_Na3TlO3
_space_group_name_H-M_alt 'C 1 2/m 1'
_space_group_IT_number 12
_cell_length_a 7.002
_cell_length_b 10.655
_cell_length_c 6.159
_cell_angle_alpha 90.00
_cell_angle_beta 94.52
_cell_angle_gamma 90.00
loop_
_space_group_symop_operation_xyz
'x,y,z'
'-x,-y,-z'
'-x,y,-z'
'x,-y,z'
'x+1/2,y+1/2,z'
'-x+1/2,-y+1/2,-z'
'-x+1/2,y+1/2,-z'
'x+1/2,-y+1/2,z'
loop_
_atom_site_label
_atom_site_type_symbol
_atom_site_fract_x
_atom_site_fract_y
_atom_site_fract_z
_atom_site_occupancy
Na1 Na 0.000 0.190 0.000 1
Na2 Na 0.000 0.252 0.500 1
Na3 Na 0.139 0.500 0.888 1
Tl1 Tl 0.220 0.000 0.611 1
O1 O 0.086 0.000 0.276 1
O2 O 0.145 0.345 0.222 1
```

---

b) This record from Alexandria via LeMat-Bulk describes a relaxed Na3TlO3 crystal. The functional is PBE.

```
data_Na3TlO3
_space_group_name_H-M_alt 'P 1 21/c 1'
_space_group_IT_number 14
_cell_length_a 6.823
_cell_length_b 6.301
_cell_length_c 10.960
_cell_angle_alpha 90.00
_cell_angle_beta 90.23
_cell_angle_gamma 90.00
loop_
_space_group_symop_operation_xyz
'x,y,z'
'-x,-y,-z'
'-x,y+1/2,-z+1/2'
'x,-y+1/2,z+1/2'
loop_
_atom_site_label
_atom_site_type_symbol
_atom_site_fract_x
_atom_site_fract_y
_atom_site_fract_z
_atom_site_occupancy
Na1 Na 0.115 0.250 0.162 1
Na2 Na 0.132 0.687 0.092 1
Na3 Na 0.348 0.634 0.819 1
Tl1 Tl 0.336 0.121 0.919 1
O1 O 0.164 0.558 0.290 1
O2 O 0.200 0.086 0.459 1
O3 O 0.357 0.520 0.614 1
```

---

Result of the stability comparison: a) is the least stable of them.

---

a) This record from Alexandria via LeMat-Bulk describes a relaxed NaTl3O crystal. The functional is PBE.

```
data_NaTl3O
_space_group_name_H-M_alt 'P m -3 m'
_space_group_IT_number 221
_space_group_name_Hall '-P 4 2 3'
_cell_length_a 5.183
_cell_length_b 5.183
_cell_length_c 5.183
_cell_angle_alpha 90.00
_cell_angle_beta 90.00
_cell_angle_gamma 90.00
loop_
_atom_site_label
_atom_site_type_symbol
_atom_site_fract_x
_atom_site_fract_y
_atom_site_fract_z
_atom_site_occupancy
Na1 Na 0.000 0.000 0.000 1
Tl1 Tl 0.000 0.500 0.500 1
O1 O 0.500 0.500 0.500 1
```

---

b) This record from Alexandria via LeMat-Bulk describes a relaxed NaTl3O crystal. The functional is PBE.

```
data_NaTl3O
_space_group_name_H-M_alt 'P m -3 m'
_space_group_IT_number 221
_space_group_name_Hall '-P 4 2 3'
_cell_length_a 5.594
_cell_length_b 5.594
_cell_length_c 5.594
_cell_angle_alpha 90.00
_cell_angle_beta 90.00
_cell_angle_gamma 90.00
loop_
_atom_site_label
_atom_site_type_symbol
_atom_site_fract_x
_atom_site_fract_y
_atom_site_fract_z
_atom_site_occupancy
Na1 Na 0.000 0.000 0.000 1
Tl1 Tl 0.000 0.000 0.500 1
O1 O 0.500 0.500 0.500 1
```

---

Result of the stability comparison: b) is the least stable of them.

---

a) This record from Alexandria via LeMat-Bulk describes a relaxed NaTmO2 crystal. The functional is PBE.

```
data_NaTmO2
_space_group_name_H-M_alt 'R -3 m'
_space_group_IT_number 166
_space_group_name_Hall '-R 3 2"'
_cell_length_a 3.3642
_cell_length_b 3.3642
_cell_length_c 16.6784
_cell_angle_alpha 90.00
_cell_angle_beta 90.00
_cell_angle_gamma 120.00
loop_
_atom_site_label
_atom_site_type_symbol
_atom_site_fract_x
_atom_site_fract_y
_atom_site_fract_z
_atom_site_occupancy
Na1 Na 0.0000 0.0000 0.0000 1
Tm1 Tm 0.0000 0.0000 0.5000 1
O1 O 0.0000 0.0000 0.2362 1
```

---

b) This record from Alexandria via LeMat-Bulk describes a relaxed NaTmO2 crystal. The functional is PBE.

```
data_NaTmO2
_space_group_name_H-M_alt 'I 41/a m d'
_space_group_IT_number 141
_cell_length_a 4.564
_cell_length_b 4.564
_cell_length_c 10.197
_cell_angle_alpha 90.00
_cell_angle_beta 90.00
_cell_angle_gamma 90.00
loop_
_space_group_symop_operation_xyz
'x,y,z'
'-x,-y,-z'
'-y+1/4,x+3/4,z+1/4'
'y+1/4,-x+3/4,-z+1/4'
'-x+1/2,-y,z+1/2'
'x+1/2,y,-z+1/2'
'y+1/4,-x+1/4,z+3/4'
'-y+1/4,x+1/4,-z+3/4'
'x,-y,-z'
'-x,y,z'
'-y+1/4,-x+1/4,-z+3/4'
'y+1/4,x+1/4,z+3/4'
'-x+1/2,y,-z+1/2'
'x+1/2,-y,z+1/2'
'y+1/4,x+3/4,-z+1/4'
'-y+1/4,-x+3/4,z+1/4'
'x+1/2,y+1/2,z+1/2'
'-x+1/2,-y+1/2,-z+1/2'
'-y+3/4,x+1/4,z+3/4'
'y+3/4,-x+1/4,-z+3/4'
'-x,-y+1/2,z'
'x,y+1/2,-z'
'y+3/4,-x+3/4,z+1/4'
'-y+3/4,x+3/4,-z+1/4'
'x+1/2,-y+1/2,-z+1/2'
'-x+1/2,y+1/2,z+1/2'
'-y+3/4,-x+3/4,-z+1/4'
'y+3/4,x+3/4,z+1/4'
'-x,y+1/2,-z'
'x,-y+1/2,z'
'y+3/4,x+1/4,-z+3/4'
'-y+3/4,-x+1/4,z+3/4'
loop_
_atom_site_label
_atom_site_type_symbol
_atom_site_fract_x
_atom_site_fract_y
_atom_site_fract_z
_atom_site_occupancy
Na1 Na 0.000 0.250 0.375 1
Tm1 Tm 0.000 0.250 0.875 1
O1 O 0.000 0.250 0.096 1
```

---

c) This record from Alexandria via LeMat-Bulk describes a relaxed NaTmO2 crystal. The functional is PBE.

```
data_NaTmO2
_space_group_name_H-M_alt 'R 3 m'
_space_group_IT_number 160
_space_group_name_Hall 'R 3 -2"'
_cell_length_a 3.3422
_cell_length_b 3.3422
_cell_length_c 17.4084
_cell_angle_alpha 90.00
_cell_angle_beta 90.00
_cell_angle_gamma 120.00
loop_
_atom_site_label
_atom_site_type_symbol
_atom_site_fract_x
_atom_site_fract_y
_atom_site_fract_z
_atom_site_occupancy
Na1 Na 0.0000 0.0000 0.0000 1
Tm1 Tm 0.0000 0.0000 0.1731 1
O1 O 0.0000 0.0000 0.5752 1
O2 O 0.0000 0.0000 0.7734 1
```

---

Result of the stability comparison: c) is the least stable of them.